The following is a meta-GGA SCAN calculation of a PBEsol-optimized structure of BeGe3Mo, from the Alexandria database.

Cell lengths 4.828, 4.828, 4.828 Å; angles 90.00, 90.00, 90.00 degrees
Atoms (fractional coordinates):
Be1 0.500 0.500 0.500
Mo1 0.000 0.000 0.000
Ge1 0.000 0.500 0.000
Ge2 0.000 0.000 0.500
Ge3 0.500 0.000 0.000

Values from the calculation:
volume = 112.6 Å³/f.u.
magnetic moment = 0.00 μB per cell
E_form = 870 meV per atom
energy = -18.431 eV per atom



The following is a meta-GGA SCAN calculation of a PBEsol-optimized structure of BeGeMo2W, from the Alexandria database.

Cell lengths 4.222, 4.707, 4.707 Å; angles 90.00, 90.00, 90.00 degrees
Atoms (fractional coordinates):
Be1 0.500 0.000 0.000
Mo1 0.000 0.000 0.500
Mo2 0.000 0.500 0.000
Ge1 0.500 0.500 0.500
W1 0.000 0.000 0.000

Values from the calculation:
volume = 93.6 Å³/f.u.
magnetic moment = 0.02 μB per cell
E_form = 1713 meV per atom
energy = -30.867 eV per atom



The following is a meta-GGA SCAN calculation of a PBEsol-optimized structure of Be2NiGeN, from the Alexandria database.

Cell lengths 3.284, 3.284, 4.906 Å; angles 90.00, 90.00, 90.00 degrees
Atoms (fractional coordinates):
Ni1 0.500 0.500 0.500
Ge1 0.000 0.000 0.500
Be1 0.000 0.500 0.000
Be2 0.500 0.000 0.000
N1 0.000 0.000 0.000

Values from the calculation:
uncorrected formation energy = -0.125 eV per atom
volume = 52.9 Å³/f.u.
magnetic moment = 0.00 μB per cell
energy = -10.777 eV per atom



The following is a meta-GGA SCAN calculation of a PBEsol-optimized structure of BeGeSeN2, from the Alexandria database.

Cell lengths 3.550, 3.550, 6.203 Å; angles 90.00, 90.00, 90.00 degrees
Atoms (fractional coordinates):
Be1 0.500 0.500 0.500
Ge1 0.000 0.000 0.000
Se1 0.000 0.000 0.500
N1 0.000 0.500 0.000
N2 0.500 0.000 0.000

Values from the calculation:
uncorrected formation energy = 1.134 eV per atom
volume = 78.2 Å³/f.u.
magnetic moment = 0.00 μB per cell
energy = -11.286 eV per atom



The following is a meta-GGA SCAN calculation of a PBEsol-optimized structure of NaBe2Ge2, from the Alexandria database.

Cell lengths 3.878, 3.878, 5.751 Å; angles 109.71, 109.71, 90.00 degrees
Atoms (fractional coordinates):
Na1 0.000 0.000 0.000
Ge1 0.378 0.378 0.755
Ge2 0.622 0.622 0.245
Be1 0.250 0.750 0.500
Be2 0.750 0.250 0.500

Values from the calculation:
volume = 76.0 Å³/f.u.
magnetic moment = 0.00 μB per cell
E_form = -13 meV per atom
energy = -10.232 eV per atom



The following is a meta-GGA SCAN calculation of a PBEsol-optimized structure of NaBeGe3, from the Alexandria database.

Cell lengths 4.893, 4.893, 4.893 Å; angles 90.00, 90.00, 90.00 degrees
Atoms (fractional coordinates):
Na1 0.000 0.000 0.000
Ge1 0.000 0.500 0.000
Ge2 0.000 0.000 0.500
Ge3 0.500 0.000 0.000
Be1 0.500 0.500 0.500

Values from the calculation:
volume = 117.1 Å³/f.u.
magnetic moment = 0.00 μB per cell
E_form = 1537 meV per atom
energy = -11.630 eV per atom